[1]
! KReAg2, relaxed, DFT PBEsol; values from VASP
&SYSTEM
  ibrav = 0, nat = 4, ntyp = 3
/
ATOMIC_SPECIES
Ag 107.87 Ag.upf
K 39.10 K.upf
Re 186.21 Re.upf
CELL_PARAMETERS angstrom
2.719 -0.036 0.000
-0.838 2.587 0.000
0.000 0.000 10.429
ATOMIC_POSITIONS crystal
Ag 0.000 0.000 0.002
Ag 0.500 0.500 0.779
K 0.000 0.000 0.496
Re 0.500 0.500 0.223
! Electronic total energy (Ry/atom): -0.3317
! SG: Cmm2, No. 35

=====

[2]
! KReAg, relaxed, DFT PBEsol; values from VASP
&SYSTEM
  ibrav = 0, nat = 3, ntyp = 3
/
ATOMIC_SPECIES
Ag 107.87 Ag.upf
K 39.10 K.upf
Re 186.21 Re.upf
CELL_PARAMETERS angstrom
-1.720 -1.940 0.114
2.061 -1.564 4.490
-3.878 3.437 -0.013
ATOMIC_POSITIONS crystal
Ag 0.970 0.000 0.000
K 0.692 0.333 0.667
Re 0.338 0.667 0.333
! Electronic total energy (Ry/atom): -0.3282
! SG: P3m1, No. 156

=====

[3]
! KReAg, relaxed, DFT PBEsol; values from VASP
&SYSTEM
  ibrav = 0, nat = 3, ntyp = 3
/
ATOMIC_SPECIES
Ag 107.87 Ag.upf
K 39.10 K.upf
Re 186.21 Re.upf
CELL_PARAMETERS angstrom
2.624 0.000 0.000
0.000 4.468 0.000
-1.312 -2.234 5.948
ATOMIC_POSITIONS crystal
Ag 0.948 0.948 0.895
K 0.665 0.665 0.331
Re 0.387 0.387 0.774
! Electronic total energy (Ry/atom): -0.3525
! SG: Imm2, No. 44

=====

[4]
! KAgRh2, relaxed, DFT PBEsol; values from VASP
&SYSTEM
  ibrav = 0, nat = 4, ntyp = 3
/
ATOMIC_SPECIES
Ag 107.87 Ag.upf
K 39.10 K.upf
Rh 102.91 Rh.upf
CELL_PARAMETERS angstrom
-0.877 -2.637 -0.297
2.559 -0.563 -2.555
4.952 -2.262 5.459
ATOMIC_POSITIONS crystal
Ag 0.000 0.000 0.436
K 0.500 0.500 0.765
Rh 0.000 0.000 0.083
Rh 0.500 0.500 0.216
! Electronic total energy (Ry/atom): -0.3514
! SG: Pmm2, No. 25

=====

[5]
! KAgRh2, relaxed, DFT PBEsol; values from VASP
&SYSTEM
  ibrav = 0, nat = 4, ntyp = 3
/
ATOMIC_SPECIES
Ag 107.87 Ag.upf
K 39.10 K.upf
Rh 102.91 Rh.upf
CELL_PARAMETERS angstrom
-0.807 -1.946 -1.724
4.634 -1.267 -0.738
-1.906 -1.883 5.166
ATOMIC_POSITIONS crystal
Ag 0.000 0.500 0.000
K 0.500 0.000 0.000
Rh 0.272 0.276 0.543
Rh 0.728 0.724 0.457
! Electronic total energy (Ry/atom): -0.3341
! SG: C2/m, No. 12

=====

[6]
! K2AgRh, relaxed, DFT PBEsol; values from VASP
&SYSTEM
  ibrav = 0, nat = 4, ntyp = 3
/
ATOMIC_SPECIES
Ag 107.87 Ag.upf
K 39.10 K.upf
Rh 102.91 Rh.upf
CELL_PARAMETERS angstrom
5.056 0.000 0.000
2.528 4.378 0.000
2.528 1.459 4.128
ATOMIC_POSITIONS crystal
Ag 0.250 0.250 0.250
K 0.000 0.000 0.000
K 0.750 0.750 0.750
Rh 0.500 0.500 0.500
! Electronic total energy (Ry/atom): -0.2039
! SG: F-43m, No. 216

=====

[7]
! K2AgRh, relaxed, DFT PBEsol; values from VASP
&SYSTEM
  ibrav = 0, nat = 4, ntyp = 3
/
ATOMIC_SPECIES
Ag 107.87 Ag.upf
K 39.10 K.upf
Rh 102.91 Rh.upf
CELL_PARAMETERS angstrom
2.927 0.000 0.025
0.000 5.089 0.000
-0.055 0.000 6.058
ATOMIC_POSITIONS crystal
Ag 0.500 0.500 0.000
K 0.001 0.000 0.742
K 0.999 0.000 0.258
Rh 0.500 0.500 0.500
! Electronic total energy (Ry/atom): -0.2029
! SG: Pmmm, No. 47

=====

[8]
! KAgRhW2, relaxed, DFT PBEsol; values from VASP
&SYSTEM
  ibrav = 0, nat = 5, ntyp = 4
/
ATOMIC_SPECIES
K 39.10 K.upf
Rh 102.91 Rh.upf
Ag 107.87 Ag.upf
W 183.84 W.upf
CELL_PARAMETERS angstrom
4.806 0.000 0.000
0.000 4.806 0.000
0.000 0.000 5.132
ATOMIC_POSITIONS crystal
K 0.000 0.000 0.500
Rh 0.500 0.500 0.500
Ag 0.000 0.000 0.000
W 0.000 0.500 0.000
W 0.500 0.000 0.000
! Electronic total energy (Ry/atom): -0.3752
! SG: P4/mmm, No. 123

=====

What formation enthalpy at 0 K values result from the calculations? In sequence: 759, 1461, 1130, 399, 634, 654, 669, 2935 meV per atom.